Run i
Compound: ScCrIr2
Source: Alexandria via LeMat-Bulk
Functional: PBEsol
Structure: relaxed

Structure (CIF):
```
data_ScCrIr2
_chemical_formula_sum 'Sc1 Cr1 Ir2'
_cell_length_a 4.555
_cell_length_b 2.845
_cell_length_c 4.812
_cell_angle_alpha 90.00
_cell_angle_beta 108.69
_cell_angle_gamma 90.00
_space_group_name_H-M_alt 'P 1 2/m 1'
_space_group_IT_number 10
_space_group_name_Hall '-P 2y'
loop_
_atom_site_label
_atom_site_fract_x
_atom_site_fract_y
_atom_site_fract_z
Sc1 0.000 0.000 0.000
Cr1 0.000 0.500 0.500
Ir1 0.500 0.000 0.500
Ir2 0.500 0.500 0.000
```

Calculated values
V, Å³ per atom: 14.77

Run ii
Compound: ScCrIr2
Source: Alexandria via LeMat-Bulk
Functional: PBEsol
Structure: relaxed

Structure (CIF):
```
data_ScCrIr2
_chemical_formula_sum 'Sc2 Cr2 Ir4'
_cell_length_a 9.244
_cell_length_b 2.815
_cell_length_c 4.628
_cell_angle_alpha 90.00
_cell_angle_beta 100.63
_cell_angle_gamma 90.00
_space_group_name_H-M_alt 'C 1 m 1'
_space_group_IT_number 8
_space_group_name_Hall 'C -2y'
loop_
_atom_site_label
_atom_site_fract_x
_atom_site_fract_y
_atom_site_fract_z
Sc1 0.000 0.000 0.000
Cr1 0.229 0.000 0.676
Ir1 0.253 0.500 0.222
Ir2 0.496 0.000 0.509
```

Calculated values
V, Å³ per atom: 14.80

Run iii
Compound: ScCrIr2
Source: Alexandria via LeMat-Bulk
Functional: PBEsol
Structure: relaxed

Structure (CIF):
```
data_ScCrIr2
_chemical_formula_sum 'Sc4 Cr4 Ir8'
_cell_length_a 6.197
_cell_length_b 6.197
_cell_length_c 6.197
_cell_angle_alpha 90.00
_cell_angle_beta 90.00
_cell_angle_gamma 90.00
_space_group_name_H-M_alt 'F m -3 m'
_space_group_IT_number 225
_space_group_name_Hall '-F 4 2 3'
loop_
_atom_site_label
_atom_site_fract_x
_atom_site_fract_y
_atom_site_fract_z
Sc1 0.000 0.000 0.000
Cr1 0.000 0.000 0.500
Ir1 0.250 0.250 0.250
```

Calculated values
V, Å³ per atom: 14.87

Run iv
Compound: ScCrIr2
Source: Alexandria via LeMat-Bulk
Functional: PBEsol
Structure: relaxed

Structure (CIF):
```
data_ScCrIr2
_chemical_formula_sum 'Sc1 Cr1 Ir2'
_cell_length_a 4.104
_cell_length_b 4.104
_cell_length_c 3.502
_cell_angle_alpha 90.00
_cell_angle_beta 90.00
_cell_angle_gamma 90.00
_space_group_name_H-M_alt 'P 4/m m m'
_space_group_IT_number 123
_space_group_name_Hall '-P 4 2'
loop_
_atom_site_label
_atom_site_fract_x
_atom_site_fract_y
_atom_site_fract_z
Sc1 0.000 0.000 0.000
Cr1 0.500 0.500 0.000
Ir1 0.000 0.500 0.500
```

Calculated values
V, Å³ per atom: 14.74

Short version: run i is the least stable of them.

Run i
Compound: CrIrSe2
Source: Alexandria via LeMat-Bulk
Functional: PBEsol
Structure: relaxed

Structure (CIF):
```
data_CrIrSe2
_chemical_formula_sum 'Cr2 Ir2 Se4'
_cell_length_a 9.121
_cell_length_b 3.264
_cell_length_c 4.337
_cell_angle_alpha 90.00
_cell_angle_beta 100.60
_cell_angle_gamma 90.00
_space_group_name_H-M_alt 'C 1 m 1'
_space_group_IT_number 8
_space_group_name_Hall 'C -2y'
loop_
_atom_site_label
_atom_site_fract_x
_atom_site_fract_y
_atom_site_fract_z
Cr1 0.000 0.000 0.000
Ir1 0.254 0.000 0.690
Se1 0.003 0.500 0.531
Se2 0.247 0.500 0.130
```

Calculated values
V, Å³ per atom: 15.86

Run ii
Compound: CrIrSe2
Source: Alexandria via LeMat-Bulk
Functional: PBEsol
Structure: relaxed

Structure (CIF):
```
data_CrIrSe2
_chemical_formula_sum 'Cr4 Ir4 Se8'
_cell_length_a 5.504
_cell_length_b 6.896
_cell_length_c 7.333
_cell_angle_alpha 90.00
_cell_angle_beta 90.00
_cell_angle_gamma 90.00
_space_group_name_H-M_alt 'F m m m'
_space_group_IT_number 69
_space_group_name_Hall '-F 2 2'
loop_
_atom_site_label
_atom_site_fract_x
_atom_site_fract_y
_atom_site_fract_z
Cr1 0.000 0.000 0.000
Ir1 0.000 0.000 0.500
Se1 0.000 0.250 0.250
```

Calculated values
V, Å³ per atom: 17.39

Run iii
Compound: CrIrSe2
Source: Alexandria via LeMat-Bulk
Functional: PBEsol
Structure: relaxed

Structure (CIF):
```
data_CrIrSe2
_chemical_formula_sum 'Cr2 Ir2 Se4'
_cell_length_a 2.976
_cell_length_b 4.483
_cell_length_c 9.529
_cell_angle_alpha 90.00
_cell_angle_beta 90.00
_cell_angle_gamma 90.00
_space_group_name_H-M_alt 'I m m 2'
_space_group_IT_number 44
_space_group_name_Hall 'I 2 -2'
loop_
_atom_site_label
_atom_site_fract_x
_atom_site_fract_y
_atom_site_fract_z
Cr1 0.000 0.000 0.000
Ir1 0.000 0.500 0.238
Se1 0.000 0.000 0.520
Se2 0.000 0.500 0.732
```

Calculated values
V, Å³ per atom: 15.89

Run iv
Compound: CrIrSe2
Source: Alexandria via LeMat-Bulk
Functional: PBEsol
Structure: relaxed

Structure (CIF):
```
data_CrIrSe2
_chemical_formula_sum 'Cr1 Ir1 Se2'
_cell_length_a 3.396
_cell_length_b 3.396
_cell_length_c 5.961
_cell_angle_alpha 90.00
_cell_angle_beta 90.00
_cell_angle_gamma 90.00
_space_group_name_H-M_alt 'P 4 m m'
_space_group_IT_number 99
_space_group_name_Hall 'P 4 -2'
loop_
_atom_site_label
_atom_site_fract_x
_atom_site_fract_y
_atom_site_fract_z
Cr1 0.000 0.000 0.000
Ir1 0.500 0.500 0.261
Se1 0.000 0.000 0.410
Se2 0.500 0.500 0.850
```

Calculated values
V, Å³ per atom: 17.19

Short version: run ii is the least stable of them.

Run i
Compound: TaCr2Ir
Source: Alexandria via LeMat-Bulk
Functional: PBEsol
Structure: relaxed

Structure (CIF):
```
data_TaCr2Ir
_chemical_formula_sum 'Ta1 Cr2 Ir1'
_cell_length_a 3.008
_cell_length_b 3.008
_cell_length_c 6.013
_cell_angle_alpha 90.00
_cell_angle_beta 90.00
_cell_angle_gamma 90.00
_space_group_name_H-M_alt 'P 4/m m m'
_space_group_IT_number 123
_space_group_name_Hall '-P 4 2'
loop_
_atom_site_label
_atom_site_fract_x
_atom_site_fract_y
_atom_site_fract_z
Ta1 0.000 0.000 0.000
Cr1 0.500 0.500 0.248
Ir1 0.000 0.000 0.500
```

Calculated values
V, Å³ per atom: 13.60

Run ii
Compound: TaCr2Ir
Source: Alexandria via LeMat-Bulk
Functional: PBEsol
Structure: relaxed

Structure (CIF):
```
data_TaCr2Ir
_chemical_formula_sum 'Ta2 Cr4 Ir2'
_cell_length_a 3.189
_cell_length_b 4.143
_cell_length_c 8.319
_cell_angle_alpha 90.00
_cell_angle_beta 90.00
_cell_angle_gamma 90.00
_space_group_name_H-M_alt 'I m m m'
_space_group_IT_number 71
_space_group_name_Hall '-I 2 2'
loop_
_atom_site_label
_atom_site_fract_x
_atom_site_fract_y
_atom_site_fract_z
Ta1 0.000 0.000 0.000
Cr1 0.000 0.500 0.257
Ir1 0.000 0.000 0.500
```

Calculated values
V, Å³ per atom: 13.74

Short version: run i is the least stable of them.

Run i
Compound: TlCrIr2
Source: Alexandria via LeMat-Bulk
Functional: PBEsol
Structure: relaxed

Structure (CIF):
```
data_TlCrIr2
_chemical_formula_sum 'Tl1 Cr1 Ir2'
_cell_length_a 2.802
_cell_length_b 2.802
_cell_length_c 7.732
_cell_angle_alpha 90.00
_cell_angle_beta 90.00
_cell_angle_gamma 90.00
_space_group_name_H-M_alt 'P 4 m m'
_space_group_IT_number 99
_space_group_name_Hall 'P 4 -2'
loop_
_atom_site_label
_atom_site_fract_x
_atom_site_fract_y
_atom_site_fract_z
Tl1 0.000 0.000 0.000
Cr1 0.500 0.500 0.273
Ir1 0.000 0.000 0.473
Ir2 0.500 0.500 0.723
```

Calculated values
V, Å³ per atom: 15.18

Run ii
Compound: TlCrIr2
Source: Alexandria via LeMat-Bulk
Functional: PBEsol
Structure: relaxed

Structure (CIF):
```
data_TlCrIr2
_chemical_formula_sum 'Tl3 Cr3 Ir6'
_cell_length_a 2.8021
_cell_length_b 2.8021
_cell_length_c 27.3446
_cell_angle_alpha 90.00
_cell_angle_beta 90.00
_cell_angle_gamma 120.00
_space_group_name_H-M_alt 'R -3 m'
_space_group_IT_number 166
_space_group_name_Hall '-R 3 2"'
loop_
_atom_site_label
_atom_site_fract_x
_atom_site_fract_y
_atom_site_fract_z
Tl1 0.0000 0.0000 0.0000
Cr1 0.0000 0.0000 0.5000
Ir1 0.0000 0.0000 0.2381
```

Calculated values
V, Å³ per atom: 15.49

Run iii
Compound: TlCrIr2
Source: Alexandria via LeMat-Bulk
Functional: PBEsol
Structure: relaxed

Structure (CIF):
```
data_TlCrIr2
_chemical_formula_sum 'Tl1 Cr1 Ir2'
_cell_length_a 2.809
_cell_length_b 2.809
_cell_length_c 7.672
_cell_angle_alpha 90.00
_cell_angle_beta 90.00
_cell_angle_gamma 90.00
_space_group_name_H-M_alt 'P 4/m m m'
_space_group_IT_number 123
_space_group_name_Hall '-P 4 2'
loop_
_atom_site_label
_atom_site_fract_x
_atom_site_fract_y
_atom_site_fract_z
Tl1 0.000 0.000 0.000
Cr1 0.000 0.000 0.500
Ir1 0.500 0.500 0.289
```

Calculated values
V, Å³ per atom: 15.13

Short version: run i is the least stable of them.

Run i
Compound: Tl2CrIr
Source: Alexandria via LeMat-Bulk
Functional: PBEsol
Structure: relaxed

Structure (CIF):
```
data_Tl2CrIr
_chemical_formula_sum 'Tl4 Cr2 Ir2'
_cell_length_a 4.061
_cell_length_b 4.061
_cell_length_c 8.890
_cell_angle_alpha 90.00
_cell_angle_beta 90.00
_cell_angle_gamma 90.00
_space_group_name_H-M_alt 'I -4 m 2'
_space_group_IT_number 119
_space_group_name_Hall 'I -4 -2'
loop_
_atom_site_label
_atom_site_fract_x
_atom_site_fract_y
_atom_site_fract_z
Tl1 0.000 0.000 0.000
Tl2 0.000 0.500 0.250
Cr1 0.000 0.000 0.500
Ir1 0.000 0.500 0.750
```

Calculated values
V, Å³ per atom: 18.33

Run ii
Compound: Tl2CrIr
Source: Alexandria via LeMat-Bulk
Functional: PBEsol
Structure: relaxed

Structure (CIF):
```
data_Tl2CrIr
_chemical_formula_sum 'Tl8 Cr4 Ir4'
_cell_length_a 6.593
_cell_length_b 6.593
_cell_length_c 6.593
_cell_angle_alpha 90.00
_cell_angle_beta 90.00
_cell_angle_gamma 90.00
_space_group_name_H-M_alt 'F m -3 m'
_space_group_IT_number 225
_space_group_name_Hall '-F 4 2 3'
loop_
_atom_site_label
_atom_site_fract_x
_atom_site_fract_y
_atom_site_fract_z
Tl1 0.250 0.250 0.250
Cr1 0.000 0.000 0.000
Ir1 0.000 0.000 0.500
```

Calculated values
V, Å³ per atom: 17.91

Short version: run i is the least stable of them.

Run i
Compound: ZrCrIr
Source: Alexandria via LeMat-Bulk
Functional: PBEsol
Structure: relaxed

Structure (CIF):
```
data_ZrCrIr
_chemical_formula_sum 'Zr4 Cr4 Ir4'
_cell_length_a 6.100
_cell_length_b 6.100
_cell_length_c 6.100
_cell_angle_alpha 90.00
_cell_angle_beta 90.00
_cell_angle_gamma 90.00
_space_group_name_H-M_alt 'F -4 3 m'
_space_group_IT_number 216
_space_group_name_Hall 'F -4 2 3'
loop_
_atom_site_label
_atom_site_fract_x
_atom_site_fract_y
_atom_site_fract_z
Zr1 0.000 0.000 0.000
Cr1 0.250 0.250 0.750
Ir1 0.250 0.250 0.250
```

Calculated values
V, Å³ per atom: 18.91

Run ii
Compound: ZrCrIr
Source: Alexandria via LeMat-Bulk
Functional: PBEsol
Structure: relaxed

Structure (CIF):
```
data_ZrCrIr
_chemical_formula_sum 'Zr4 Cr4 Ir4'
_cell_length_a 6.122
_cell_length_b 6.122
_cell_length_c 6.122
_cell_angle_alpha 90.00
_cell_angle_beta 90.00
_cell_angle_gamma 90.00
_space_group_name_H-M_alt 'F -4 3 m'
_space_group_IT_number 216
_space_group_name_Hall 'F -4 2 3'
loop_
_atom_site_label
_atom_site_fract_x
_atom_site_fract_y
_atom_site_fract_z
Zr1 0.000 0.000 0.000
Cr1 0.000 0.000 0.500
Ir1 0.250 0.250 0.250
```

Calculated values
V, Å³ per atom: 19.12

Short version: run i is the least stable of them.

Run i
Compound: K2Cr
Source: Alexandria via LeMat-Bulk
Functional: PBEsol
Structure: relaxed

Structure (CIF):
```
data_K2Cr
_chemical_formula_sum 'K8 Cr4'
_cell_length_a 17.452
_cell_length_b 4.036
_cell_length_c 8.164
_cell_angle_alpha 90.00
_cell_angle_beta 105.33
_cell_angle_gamma 90.00
_space_group_name_H-M_alt 'C 1 2/m 1'
_space_group_IT_number 12
_space_group_name_Hall '-C 2y'
loop_
_atom_site_label
_atom_site_fract_x
_atom_site_fract_y
_atom_site_fract_z
K1 0.114 0.000 0.063
K2 0.154 0.000 0.595
Cr1 0.003 0.500 0.320
```

Calculated values
V, Å³ per atom: 46.21

Run ii
Compound: K2Cr
Source: Alexandria via LeMat-Bulk
Functional: PBEsol
Structure: relaxed

Structure (CIF):
```
data_K2Cr
_chemical_formula_sum 'K4 Cr2'
_cell_length_a 8.824
_cell_length_b 8.984
_cell_length_c 3.530
_cell_angle_alpha 90.00
_cell_angle_beta 90.00
_cell_angle_gamma 90.00
_space_group_name_H-M_alt 'P n n m'
_space_group_IT_number 58
_space_group_name_Hall '-P 2 2n'
loop_
_atom_site_label
_atom_site_fract_x
_atom_site_fract_y
_atom_site_fract_z
K1 0.191 0.172 0.000
Cr1 0.000 0.500 0.000
```

Calculated values
V, Å³ per atom: 46.63

Run iii
Compound: K2Cr
Source: Alexandria via LeMat-Bulk
Functional: PBEsol
Structure: relaxed

Structure (CIF):
```
data_K2Cr
_chemical_formula_sum 'K2 Cr1'
_cell_length_a 4.1232
_cell_length_b 4.1232
_cell_length_c 9.3344
_cell_angle_alpha 90.00
_cell_angle_beta 90.00
_cell_angle_gamma 120.00
_space_group_name_H-M_alt 'P -3 m 1'
_space_group_IT_number 164
_space_group_name_Hall '-P 3 2"'
loop_
_atom_site_label
_atom_site_fract_x
_atom_site_fract_y
_atom_site_fract_z
K1 0.3333 0.6667 0.2835
Cr1 0.0000 0.0000 0.0000
```

Calculated values
V, Å³ per atom: 45.81

Short version: run iii is the least stable of them.

Run i
Compound: KCr
Source: Alexandria via LeMat-Bulk
Functional: PBEsol
Structure: relaxed

Structure (CIF):
```
data_KCr
_chemical_formula_sum 'K1 Cr1'
_cell_length_a 3.409
_cell_length_b 3.409
_cell_length_c 5.509
_cell_angle_alpha 90.00
_cell_angle_beta 90.00
_cell_angle_gamma 90.00
_space_group_name_H-M_alt 'P 4/m m m'
_space_group_IT_number 123
_space_group_name_Hall '-P 4 2'
loop_
_atom_site_label
_atom_site_fract_x
_atom_site_fract_y
_atom_site_fract_z
K1 0.000 0.000 0.000
Cr1 0.500 0.500 0.500
```

Calculated values
V, Å³ per atom: 32.00

Run ii
Compound: KCr
Source: Alexandria via LeMat-Bulk
Functional: PBEsol
Structure: relaxed

Structure (CIF):
```
data_KCr
_chemical_formula_sum 'K4 Cr4'
_cell_length_a 13.302
_cell_length_b 3.248
_cell_length_c 6.495
_cell_angle_alpha 90.00
_cell_angle_beta 106.38
_cell_angle_gamma 90.00
_space_group_name_H-M_alt 'C 1 2/m 1'
_space_group_IT_number 12
_space_group_name_Hall '-C 2y'
loop_
_atom_site_label
_atom_site_fract_x
_atom_site_fract_y
_atom_site_fract_z
K1 0.097 0.000 0.311
Cr1 0.169 0.500 0.854
```

Calculated values
V, Å³ per atom: 33.65

Short version: run i is the least stable of them.